[1]
A geometry-optimized NdCoGe2Ir structure. Source: the Alexandria database, functional PBE-GGA.

Geometry as POSCAR:
```
NdCoGe2Ir
1.0
4.098 0.000 0.000
0.000 4.098 0.000
-2.049 -2.049 5.266
Ir Co Nd Ge
1 1 1 2
Direct
0.250 0.750 0.500
0.750 0.250 0.500
0.000 0.000 0.000
0.374 0.374 0.748
0.626 0.626 0.252
```

V, A^3/atom: 17.69
Total magnetization, Bohr magnetons per cell: 0.0
Calculated density, Mg/m³: 10.152

---

[2]
A geometry-optimized Nd2CoGe4Ir3 structure. Source: the Alexandria database, functional PBE-GGA.

Geometry as POSCAR:
```
Nd2CoGe4Ir3
1.0
4.253 0.000 0.000
0.000 4.253 0.000
0.000 0.000 10.133
Nd Ir Ge Co
2 3 4 1
Direct
0.500 0.000 0.248
0.000 0.500 0.752
0.000 0.500 0.130
0.000 0.000 0.500
0.500 0.000 0.870
0.000 0.000 0.000
0.000 0.500 0.374
0.500 0.500 0.000
0.500 0.000 0.626
0.500 0.500 0.500
```

V, A^3/atom: 18.33
Total magnetization, Bohr magnetons per cell: 0.0
Calculated density, Mg/m³: 11.006

---

[3]
A geometry-optimized Np2Co3Ge4Ir structure. Source: the Alexandria database, functional PBE-GGA.

Geometry as POSCAR:
```
Np2Co3Ge4Ir
1.0
-0.071 3.754 -1.559
-4.047 -0.212 -0.325
-0.923 3.745 9.062
Ge Co Np Ir
4 3 2 1
Direct
0.500 0.500 0.000
0.000 0.500 0.361
0.500 0.000 0.639
0.000 0.000 0.000
0.000 0.000 0.500
0.000 0.500 0.127
0.500 0.000 0.873
0.500 0.000 0.241
0.000 0.500 0.759
0.500 0.500 0.500
```

V, A^3/atom: 16.28
Total magnetization, Bohr magnetons per cell: 6.8
Calculated density, Mg/m³: 11.564

---

[4]
A geometry-optimized NpCoGe2Ir structure. Source: the Alexandria database, functional PBE-GGA.

Geometry as POSCAR:
```
NpCoGe2Ir
1.0
-1.550 -3.297 1.731
3.671 -1.668 0.108
-0.246 4.580 3.805
Ir Co Np Ge
1 1 1 2
Direct
0.250 0.750 0.500
0.750 0.250 0.500
0.000 0.000 0.000
0.622 0.622 0.244
0.378 0.378 0.756
```

V, A^3/atom: 17.03
Total magnetization, Bohr magnetons per cell: 4.1
Calculated density, Mg/m³: 12.355

---

| no. | energy (eV/atom) | ΔH_f (0 K) (kJ per mole of atoms) |
| --- | --- | --- |
| 1 | -6.666 | -64.8 |
| 2 | -6.868 | -67.4 |
| 3 | -7.782 | -31.8 |
| 4 | -7.968 | -32.8 |